Entry 1:
A plane-wave DFT calculation with PBE+U was carried out for an optimized crystal structure of Mg2ZnCoO4.

Cell lengths 5.245, 3.031, 5.262 Å; angles 90.00, 109.79, 90.00 degrees
Fractional coordinates of all 8 atoms:
1 Mg 0.000 0.000 0.000
2 Mg 0.000 0.500 0.500
3 Zn 0.500 0.000 0.500
4 Co 0.500 0.500 0.000
5 O 0.242 0.500 0.247
6 O 0.243 0.000 0.750
7 O 0.757 0.000 0.250
8 O 0.758 0.500 0.753

* space-group type: P2/m, No. 10
* magnetization: 3.0 μB/f.u.
* raw total energy: -5.60 eV/atom

Entry 2:
A plane-wave DFT calculation with PBE+U was carried out for an optimized crystal structure of MgZnCo2O4.

Cell lengths 5.274, 4.300, 5.270 Å; angles 65.99, 48.14, 65.88 degrees
Fractional coordinates of all 8 atoms:
1 Mg 0.000 0.000 0.000
2 Zn 0.497 0.497 0.503
3 Co 0.248 0.248 0.252
4 Co 0.748 0.748 0.752
5 O 0.244 0.752 0.248
6 O 0.499 0.998 0.501
7 O 0.752 0.244 0.756
8 O 0.998 0.499 0.002

* space-group type: Fmm2, No. 42
* magnetization: 6.0 μB/f.u.
* raw total energy: -5.60 eV/atom

- The highest magnetization belongs to which entry?
  MgZnCo2O4

- Among the records above, which one has the lowest magnetization?
  Mg2ZnCoO4